a:
Material: LaPr4Sn2
Method: DFT, PBE
State: optimized geometry

## Properties
Theoretical density in g/cm³: 6.7

Lattice parameters (Å, degrees): 8.3481 6.7076 9.4266 90.00 117.92 90.00
Fractional positions:
La (0.2488, 0.7500, 0.3574)
La (0.7512, 0.2500, 0.6426)
Pr (0.5392, 0.4934, 0.2139)
Pr (0.0740, 0.7500, 0.9037)
Pr (0.9260, 0.2500, 0.0963)
Pr (0.5392, 0.0066, 0.2139)
Pr (0.0413, 0.2500, 0.5114)
Pr (0.4608, 0.9934, 0.7861)
Pr (0.4608, 0.5066, 0.7861)
Pr (0.9587, 0.7500, 0.4886)
Sn (0.8099, 0.7500, 0.0883)
Sn (0.1900, 0.2500, 0.9117)
Sn (0.3327, 0.2500, 0.3986)
Sn (0.6673, 0.7500, 0.6014)

---

b:
Material: LaPr4Sn2
Method: DFT, PBE
State: optimized geometry

## Properties
Theoretical density in g/cm³: 6.7

Lattice parameters (Å, degrees): 6.2023 6.2023 8.2803 120.96 120.97 68.15
Fractional positions:
La (0.0000, 0.0000, 0.0000)
Pr (0.7497, 0.2499, 0.5000)
Pr (0.2503, 0.7501, 0.5000)
Pr (0.5000, 0.0000, 0.0000)
Pr (0.0000, 0.5000, 0.0000)
Sn (0.6224, 0.6221, 0.2443)
Sn (0.3776, 0.3779, 0.7557)

---

Which structure is most stable? a, by 0.246 eV/atom over the runner-up.

---

a:
Material: LaPr4Sn3
Method: DFT, PBE
State: optimized geometry

## Properties
Theoretical density in g/cm³: 6.7

Lattice parameters (Å, degrees): 4.9559 9.3559 6.4503 105.78 112.59 90.00
Fractional positions:
La (0.0000, 0.0000, 0.0000)
Pr (0.8573, 0.5575, 0.7146)
Pr (0.1427, 0.4425, 0.2854)
Pr (0.6613, 0.8365, 0.3226)
Pr (0.3387, 0.1635, 0.6774)
Sn (0.3379, 0.7961, 0.6757)
Sn (0.6621, 0.2039, 0.3243)
Sn (0.5000, 0.5000, 0.0000)

---

b:
Material: LaPr4Sn3
Method: DFT, PBE
State: optimized geometry

## Properties
Theoretical density in g/cm³: 6.9

Lattice parameters (Å, degrees): 6.3227 9.5164 9.5164 83.66 70.60 70.60
Fractional positions:
Pr (0.4174, 0.2991, 0.8662)
Pr (0.5826, 0.7009, 0.1338)
Pr (0.7165, 0.8662, 0.7009)
Pr (0.0826, 0.1338, 0.7009)
Pr (0.2835, 0.1338, 0.2991)
Pr (0.9174, 0.8662, 0.2991)
Pr (0.7835, 0.2991, 0.1338)
Pr (0.2165, 0.7009, 0.8662)
Sn (0.7500, 0.0000, 0.0000)
Sn (0.2500, 0.0000, 0.0000)
Sn (0.3382, 0.8236, 0.5000)
Sn (0.6618, 0.1764, 0.5000)
Sn (0.1618, 0.5000, 0.1764)
Sn (0.8382, 0.5000, 0.8236)
La (0.7500, 0.5000, 0.5000)
La (0.2500, 0.5000, 0.5000)

---

Which structure is most stable? b, by 0.086 eV/atom over the runner-up.

---

a:
Material: LaPr2Sn
Method: DFT, PBE
State: optimized geometry

## Properties
Theoretical density in g/cm³: 6.9

Lattice parameters (Å, degrees): 4.2267 4.2267 7.2534 90.00 90.00 90.00
Fractional positions:
Pr (0.0000, 0.0000, 0.7178)
Pr (0.0000, 0.0000, 0.2822)
Sn (0.5000, 0.5000, 0.5000)
La (0.5000, 0.5000, 0.0000)

---

b:
Material: LaPr2Sn
Method: DFT, PBE
State: optimized geometry

## Properties
Theoretical density in g/cm³: 7.2

Lattice parameters (Å, degrees): 5.6163 5.6163 5.6163 60.00 60.00 60.00
Fractional positions:
Pr (0.7501, 0.7501, 0.7497)
Pr (0.2499, 0.2499, 0.2503)
Sn (0.0000, 0.0000, 0.0000)
La (0.5000, 0.5000, 0.5000)

---

Which structure is most stable? a, by 0.086 eV/atom over the runner-up.